The following is a GGA-PBE calculation of a geometry-optimized MnAg4Br structure, from Alexandria.

E_form (uncorrected), eV per atom: 0.35
Magnetic moment, μB/atom: 0.88

abc: 5.6117 5.6117 5.6117
angles: 60.00 60.00 60.00
Element x y z (fractional)
Mn (0.0000, 0.0000, 0.0000)
Ag (0.1239, 0.6254, 0.6254)
Ag (0.6254, 0.1239, 0.6254)
Ag (0.6254, 0.6254, 0.1239)
Ag (0.6254, 0.6254, 0.6254)
Br (0.2500, 0.2500, 0.2500)